A relaxed La3Cu5Te12 crystal. Source: Alexandria, functional GGA-PBE.

Unit cell a=14.646 b=14.646 c=14.646 alpha=109.47 beta=109.47 gamma=109.47
Fractional coordinates of all 80 atoms:
Cu 0.375 0.125 0.750
Cu 0.625 0.875 0.250
Cu 0.250 0.375 0.625
Te 0.410 0.027 0.324
Cu 0.000 0.000 0.500
Te 0.090 0.913 0.117
Cu 0.375 0.250 0.125
Te 0.117 0.413 0.090
La 0.875 0.125 0.250
Cu 0.500 0.000 0.000
Cu 0.000 0.500 0.500
Te 0.413 0.117 0.590
Te 0.617 0.590 0.913
Te 0.704 0.587 0.176
La 0.250 0.625 0.875
Te 0.796 0.324 0.913
Te 0.383 0.973 0.796
La 0.750 0.875 0.625
Cu 0.500 0.000 0.500
La 0.750 0.375 0.125
Te 0.204 0.676 0.087
Te 0.027 0.410 0.824
Te 0.704 0.117 0.027
Cu 0.500 0.500 0.500
Cu 0.875 0.250 0.625
Te 0.296 0.413 0.824
Cu 0.625 0.750 0.875
La 0.250 0.125 0.375
Te 0.913 0.824 0.796
Te 0.090 0.176 0.473
Cu 0.750 0.625 0.375
Te 0.176 0.090 0.973
Te 0.027 0.617 0.704
Te 0.796 0.473 0.383
Te 0.617 0.027 0.204
Te 0.087 0.910 0.383
Te 0.883 0.296 0.473
Te 0.910 0.824 0.527
La 0.125 0.250 0.875
Te 0.473 0.796 0.883
Te 0.824 0.910 0.027
Te 0.590 0.617 0.413
La 0.375 0.750 0.625
Te 0.676 0.204 0.587
Te 0.324 0.527 0.410
La 0.625 0.250 0.375
Cu 0.875 0.625 0.750
Cu 0.250 0.875 0.125
La 0.625 0.375 0.750
Te 0.973 0.590 0.176
Te 0.204 0.527 0.617
Cu 0.000 0.000 0.000
Te 0.587 0.883 0.410
Te 0.973 0.383 0.296
Te 0.117 0.704 0.527
La 0.875 0.750 0.125
Te 0.296 0.883 0.973
Te 0.527 0.324 0.910
Cu 0.000 0.500 0.000
La 0.125 0.875 0.750
Te 0.473 0.676 0.090
Te 0.410 0.383 0.587
Te 0.676 0.473 0.590
Te 0.913 0.090 0.617
Te 0.883 0.587 0.910
Cu 0.500 0.500 0.000
Te 0.910 0.087 0.883
Te 0.824 0.913 0.296
Te 0.527 0.204 0.117
Te 0.590 0.973 0.676
Te 0.413 0.296 0.324
Cu 0.750 0.125 0.875
Te 0.087 0.176 0.204
Cu 0.125 0.375 0.250
Te 0.587 0.704 0.676
Te 0.383 0.410 0.087
Te 0.176 0.087 0.704
Te 0.324 0.796 0.413
Cu 0.125 0.750 0.375
La 0.375 0.625 0.250

Calculated values
* DOS at the Fermi energy: 0.737 states/eV per atom
* theoretical density: 6.223 g/cm³
* symmetry: Ia-3d (230)
* DFT total energy: -4.131 eV/atom

***

A relaxed LaCuTe2 crystal. Source: Alexandria, functional GGA-PBE.

Unit cell a=4.516 b=4.298 c=6.523 alpha=70.81 beta=90.00 gamma=90.00
Fractional coordinates of all 4 atoms:
Te 0.000 0.101 0.923
La 0.500 0.690 0.744
Cu 0.000 0.308 0.510
Te 0.500 0.401 0.322

Calculated values
* DOS at the Fermi energy: 0.070 states/eV per atom
* theoretical density: 6.356 g/cm³
* symmetry: Amm2 (38)
* DFT total energy: -4.783 eV/atom

***

A relaxed LaCuTe2 crystal. Source: Alexandria, functional GGA-PBE.

Unit cell a=4.115 b=4.115 c=6.362 alpha=90.00 beta=90.00 gamma=90.00
Fractional coordinates of all 4 atoms:
Te 0.000 0.000 0.494
Cu 0.500 0.500 0.250
La 0.500 0.500 0.750
Te 0.000 0.000 0.006

Calculated values
* DOS at the Fermi energy: 0.382 states/eV per atom
* theoretical density: 7.055 g/cm³
* symmetry: P4/mmm (123)
* DFT total energy: -4.394 eV/atom

***

A relaxed LaCu2Te crystal. Source: Alexandria, functional GGA-PBE.

Unit cell a=4.618 b=4.618 c=9.969 alpha=76.61 beta=76.61 gamma=90.00
Fractional coordinates of all 8 atoms:
Cu 0.375 0.570 0.750
Te 0.250 0.750 0.500
La 0.000 0.000 0.000
Cu 0.875 0.680 0.750
Cu 0.430 0.125 0.250
Cu 0.320 0.625 0.250
La 0.750 0.250 0.500
Te 0.500 0.500 0.000

Calculated values
* DOS at the Fermi energy: 0.370 states/eV per atom
* theoretical density: 6.509 g/cm³
* symmetry: I-42d (122)
* DFT total energy: -4.327 eV/atom

***

A relaxed LaCu4Te crystal. Source: Alexandria, functional GGA-PBE.

Unit cell a=5.343 b=5.343 c=5.343 alpha=60.00 beta=60.00 gamma=60.00
Fractional coordinates of all 6 atoms:
La 0.750 0.750 0.750
Te 0.000 0.000 0.000
Cu 0.375 0.876 0.375
Cu 0.375 0.375 0.375
Cu 0.375 0.375 0.876
Cu 0.876 0.375 0.375

Calculated values
* DOS at the Fermi energy: 0.523 states/eV per atom
* theoretical density: 8.017 g/cm³
* symmetry: F-43m (216)
* DFT total energy: -4.234 eV/atom

***

A relaxed LaCu2Te crystal. Source: Alexandria, functional GGA-PBE.

Unit cell a=4.814 b=4.814 c=5.309 alpha=69.91 beta=69.91 gamma=51.21
Fractional coordinates of all 4 atoms:
La 0.750 0.750 0.750
Cu 0.517 0.517 0.410
Cu 0.983 0.983 0.090
Te 0.250 0.250 0.250

Calculated values
* DOS at the Fermi energy: 0.676 states/eV per atom
* theoretical density: 7.371 g/cm³
* symmetry: C2/m (12)
* DFT total energy: -4.373 eV/atom

***

A relaxed LaCuTe2 crystal. Source: Alexandria, functional GGA-PBE.

Unit cell a=5.330 b=5.330 c=5.330 alpha=60.00 beta=60.00 gamma=60.00
Fractional coordinates of all 4 atoms:
La 0.750 0.750 0.750
Cu 0.500 0.500 0.500
Te 0.250 0.250 0.250
Te 0.000 0.000 0.000

Calculated values
* DOS at the Fermi energy: 0.505 states/eV per atom
* theoretical density: 7.098 g/cm³
* symmetry: F-43m (216)
* DFT total energy: -4.221 eV/atom

***

A relaxed LaCu2Te crystal. Source: Alexandria, functional GGA-PBE.

Unit cell a=4.110 b=4.272 c=5.234 alpha=90.06 beta=90.00 gamma=90.00
Fractional coordinates of all 4 atoms:
Cu 0.000 0.126 0.965
Cu 0.500 0.125 0.225
Te 0.500 0.624 0.896
La 0.000 0.625 0.413

Calculated values
* DOS at the Fermi energy: 0.413 states/eV per atom
* theoretical density: 7.112 g/cm³
* symmetry: Pm (6)
* DFT total energy: -4.422 eV/atom

***

One value per record, in order, for volume: 2418 120 108 201 108 89 107 92 Å³/cell.